(1)
TaNb2Mo3: relaxed, PBE-GGA.

Cell and atoms, written as CIF:
```
data_TaNb2Mo3
_cell_length_a 3.229
_cell_length_b 3.229
_cell_length_c 9.693
_cell_angle_alpha 90.00
_cell_angle_beta 90.00
_cell_angle_gamma 90.00
_space_group_name_H-M_alt 'P 4/m m m'
_space_group_IT_number 123
_space_group_name_Hall '-P 4 2'
loop_
_atom_site_label
_atom_site_type_symbol
_atom_site_fract_x
_atom_site_fract_y
_atom_site_fract_z
Ta1 Ta 0.000 0.000 0.000
Nb1 Nb 0.000 0.000 0.333
Mo1 Mo 0.500 0.500 0.167
Mo2 Mo 0.500 0.500 0.500
```

***

(2)
# TaNbMo (PBE-GGA, relaxed)
data_TaNbMo
_cell_length_a 5.502
_cell_length_b 4.686
_cell_length_c 8.170
_cell_angle_alpha 90.00
_cell_angle_beta 90.00
_cell_angle_gamma 90.00
_space_group_name_H-M_alt 'P n m a'
_space_group_IT_number 62
_space_group_name_Hall '-P 2ac 2n'
loop_
_atom_site_label
_atom_site_type_symbol
_atom_site_fract_x
_atom_site_fract_y
_atom_site_fract_z
Ta1 Ta 0.174 0.250 0.076
Nb1 Nb 0.015 0.250 0.737
Mo1 Mo 0.173 0.250 0.418
# Relative energy among the computed polymorphs (meV per atom): 0

***

(3)
Ta3Nb2Mo3: relaxed, PBE-GGA.

Cell and atoms, written as CIF:
```
data_Ta3Nb2Mo3
_cell_length_a 3.247
_cell_length_b 4.609
_cell_length_c 18.332
_cell_angle_alpha 90.00
_cell_angle_beta 90.00
_cell_angle_gamma 90.00
_space_group_name_H-M_alt 'I m m m'
_space_group_IT_number 71
_space_group_name_Hall '-I 2 2'
loop_
_atom_site_label
_atom_site_type_symbol
_atom_site_fract_x
_atom_site_fract_y
_atom_site_fract_z
Ta1 Ta 0.000 0.000 0.000
Ta2 Ta 0.000 0.500 0.121
Nb1 Nb 0.000 0.000 0.246
Mo1 Mo 0.000 0.000 0.500
Mo2 Mo 0.000 0.500 0.376
```

***

Number 1: energy of formation -0.14 eV/atom. Number 2: energy of formation 0.01 eV/atom. Number 3: energy of formation -0.15 eV/atom.